Entry 1:
# YMgSb

Crystalline YMgSb at its relaxed geometry (GGA-PBE, the Alexandria database).

Unit cell a=3.4897 b=4.0698 c=10.9729 alpha=90.00 beta=90.00 gamma=90.00
Space group Imm2 (No. 44)
Unique sites:
Y1 0.0000 0.0000 0.0000
Mg1 0.0000 0.0000 0.3111
Sb1 0.0000 0.0000 0.6724

* size of the total moment: 0.0 μB/f.u.
* ΔE_f (raw): -1.24 eV/f.u.
* D(E_F): 3.9 states/eV per cell
* ΔE to the lowest computed polymorph: 116.6 meV per atom

---

Entry 2:
# YMg2Sb

Crystalline YMg2Sb at its relaxed geometry (GGA-PBE, the Alexandria database).

Unit cell a=4.0463 b=4.0463 c=6.2745 alpha=90.00 beta=90.00 gamma=90.00
Space group P4/mmm (No. 123)
Unique sites:
Y1 0.0000 0.0000 0.0000
Mg1 0.5000 0.5000 0.2632
Sb1 0.0000 0.0000 0.5000

* size of the total moment: 0.7 μB/f.u.
* ΔE_f (raw): -0.89 eV/f.u.
* D(E_F): 3.7 states/eV per cell